1.
DFT (PBE) results for Ba2HfPt2O6 after structural relaxation.

Cell lengths 6.1982, 6.1982, 6.6944 Å; angles 62.42, 62.42, 60.00 degrees
With the nearest neighbours (Å) after each atom.
Sites, in units of the cell vectors:
Ba 0.7813 0.7813 0.6560  3 O 2.81
Ba 0.2187 0.2187 0.3440  3 O 2.81
Hf 0.0000 0.0000 0.0000  6 O 2.09
Pt 0.4098 0.4098 0.7706  3 O 2.01
Pt 0.5902 0.5902 0.2294  3 O 2.01
O 0.7725 0.7725 0.2437  1 Pt 2.01, 1 Hf 2.09
O 0.2112 0.7725 0.2437  1 Pt 2.01, 1 Hf 2.09
O 0.7725 0.2112 0.2437  1 Pt 2.01, 1 Hf 2.09
O 0.2275 0.7888 0.7563  1 Pt 2.01, 1 Hf 2.09
O 0.7888 0.2275 0.7563  1 Pt 2.01, 1 Hf 2.09
O 0.2275 0.2275 0.7563  1 Pt 2.01, 1 Hf 2.09

Output
energy = -75.1 eV per formula unit
E_form (uncorrected) = -1.770 eV per atom
V = 17.11 Å³ per atom

2.
DFT (PBE) results for BaHf2PtO8 after structural relaxation.

Cell lengths 4.9518, 4.9475, 6.9136 Å; angles 89.99, 89.99, 88.28 degrees
With the nearest neighbours (Å) after each atom.
Sites, in units of the cell vectors:
Ba 0.0000 0.0000 0.5000  6 O 2.44-2.56
Hf 0.5000 0.5000 0.7610  6 O 2.01-2.23
Hf 0.5000 0.5000 0.2390  6 O 2.01-2.23
Pt 0.0000 0.0000 0.0000  6 O 1.98-2.06
O 0.2103 0.7879 0.1946  1 Pt 1.98, 1 Hf 2.01
O 0.7097 0.7112 0.0000  1 Pt 2.06, 2 Hf 2.23
O 0.7895 0.2120 0.1946  1 Pt 1.98, 1 Hf 2.01
O 0.7897 0.2121 0.8054  1 Pt 1.98, 1 Hf 2.01
O 0.2903 0.2888 0.0000  1 Pt 2.06, 2 Hf 2.23
O 0.2105 0.7880 0.8054  1 Pt 1.98, 1 Hf 2.01
O 0.6550 0.6573 0.4999  2 Hf 2.12, 1 O 2.22
O 0.3450 0.3427 0.5001  2 Hf 2.12, 1 O 2.22

Output
energy = -93.0 eV per formula unit
E_form (uncorrected) = -2.126 eV per atom
V = 14.11 Å³ per atom

3.
DFT (PBE) results for BaPuHf2O8 after structural relaxation.

Cell lengths 5.1570, 5.1511, 6.8506 Å; angles 89.69, 89.69, 87.64 degrees
With the nearest neighbours (Å) after each atom.
Sites, in units of the cell vectors:
Ba 0.0000 0.0000 0.5000  6 O 2.52-2.56
Pu 0.0000 0.0000 0.0000  6 O 2.03-2.26
Hf 0.4982 0.4981 0.7484  6 O 2.07-2.28
Hf 0.5018 0.5019 0.2516  6 O 2.07-2.28
O 0.2097 0.7861 0.1987  1 Pu 2.03, 1 Hf 2.09
O 0.6953 0.6964 0.0009  2 Hf 2.24-2.28, 1 Pu 2.26
O 0.7877 0.2113 0.1987  1 Pu 2.03, 1 Hf 2.09
O 0.7903 0.2139 0.8013  1 Pu 2.03, 1 Hf 2.09
O 0.3047 0.3036 0.9991  2 Hf 2.24-2.28, 1 Pu 2.26
O 0.2123 0.7887 0.8013  1 Pu 2.03, 1 Hf 2.09
O 0.6603 0.6632 0.4980  2 Hf 2.07-2.10
O 0.3397 0.3368 0.5020  2 Hf 2.07-2.10

Output
energy = -110.8 eV per formula unit
E_form (uncorrected) = -2.912 eV per atom
V = 15.15 Å³ per atom